## Fe3H4 (PBE-GGA)

Data for a relaxed Fe3H4 crystal.

abc: 4.810 4.810 4.810
angles: 109.47 109.47 109.47
Last column: magnetic moment on the atom in μB.
Fractional coordinates of all 14 atoms:
Fe: 0.125 0.375 0.250  2.06
Fe: 0.625 0.750 0.875  2.06
Fe: 0.875 0.250 0.625  2.06
Fe: 0.250 0.875 0.125  2.06
Fe: 0.750 0.625 0.375  2.06
Fe: 0.375 0.125 0.750  2.06
H: 0.367 0.500 0.000  -0.03
H: 0.500 0.367 0.500  -0.03
H: 0.000 0.000 0.367  -0.03
H: 0.633 0.133 0.133  -0.03
H: 0.000 0.000 0.867  -0.03
H: 0.133 0.633 0.633  -0.03
H: 0.867 0.500 0.000  -0.03
H: 0.500 0.867 0.500  -0.03

The total magnetic moment comes out at 6.1 μB/f.u. The energy is -75.8 eV/cell.

***

## Cd2BPd (PBE-GGA)

Data for a relaxed Cd2BPd crystal.

abc: 9.200 9.200 6.833
angles: 47.69 47.69 90.00
Fractional coordinates of all 8 atoms:
B: 0.500 0.500 0.000
B: 0.250 0.750 0.500
Pd: 0.000 0.000 0.000
Pd: 0.750 0.250 0.500
Cd: 0.375 0.125 0.250
Cd: 0.375 0.625 0.250
Cd: 0.375 0.625 0.750
Cd: 0.875 0.625 0.750

The total magnetic moment comes out at 0.0 μB/f.u. The energy is -25.0 eV/cell.

***

## TlInW2 (PBE-GGA)

Data for a relaxed TlInW2 crystal.

abc: 4.603 4.068 4.068
angles: 90.00 90.00 90.00
Fractional coordinates of all 4 atoms:
In: 0.500 0.500 0.000
Tl: 0.500 0.000 0.500
W: 0.000 0.000 0.000
W: 0.000 0.500 0.500

The total magnetic moment comes out at 0.0 μB/f.u. The energy is -26.7 eV/cell.

***

## KBeAg2Au (PBE-GGA)

Data for a relaxed KBeAg2Au crystal.

abc: 4.802 4.802 4.644
angles: 90.00 90.00 90.00
Fractional coordinates of all 5 atoms:
Be: 0.000 0.000 0.000
K: 0.500 0.500 0.500
Au: 0.000 0.000 0.500
Ag: 0.000 0.500 0.000
Ag: 0.500 0.000 0.000

The total magnetic moment comes out at 0.0 μB/f.u. The energy is -13.4 eV/cell.